[1]
VASP calculation (SCAN) on a PBEsol-optimized structure of Fe2ReBr.

formation energy (no corrections)	1.03	eV per atom
distance to the lowest polymorph of the same formula	355	meV per atom
spin magnetization	5.302	μB per formula unit
E_tot	-122.71	eV/cell

a b c (Å): 4.4113 4.4113 2.8031
angles (deg): 90.00 90.00 90.00
Closest atoms and distances in Å follow each position.
Space group P4/mmm (No. 123)
One atom of each set of equivalent atoms:
Fe (0.0000, 0.5000, 0.0000) x2  4 Re 2.61, 4 Br 2.61, 2 Fe 2.80
Re (0.0000, 0.0000, 0.5000) x1  8 Fe 2.61, 2 Re 2.80
Br (0.5000, 0.5000, 0.5000) x1  8 Fe 2.61, 2 Br 2.80

=====

[2]
VASP calculation (SCAN) on a PBEsol-optimized structure of SrMnPt.

formation energy from the elements	-0.402	eV/atom
spin magnetization	4.814	μB per formula unit
E_tot	-447.72	eV/cell

a b c (Å): 6.6797 6.6797 6.6797
angles (deg): 90.00 90.00 90.00
Closest atoms and distances in Å follow each position.
Space group F-43m (No. 216)
One atom of each set of equivalent atoms:
Sr (0.0000, 0.0000, 0.0000) x4  4 Pt 2.89
Mn (0.0000, 0.0000, 0.5000) x4  4 Pt 2.89
Pt (0.2500, 0.2500, 0.2500) x4  4 Mn 2.89, 4 Sr 2.89

=====

[3]
VASP calculation (SCAN) on a PBEsol-optimized structure of Fe2AgPt.

formation energy from the elements	-0.058	eV/atom
spin magnetization	6.397	μB per formula unit
E_tot	-276.11	eV/cell

a b c (Å): 8.9864 2.7151 4.6228
angles (deg): 90.00 104.63 90.00
Closest atoms and distances in Å follow each position.
Space group Cm (No. 8)
One atom of each set of equivalent atoms:
Fe (0.0000, 0.0000, 0.0000) x2  4 Fe 2.46-2.72, 3 Ag 2.64-2.68, 4 Pt 2.64-2.74
Fe (0.2222, 0.5000, 0.2576) x2  4 Fe 2.46-2.72, 3 Pt 2.59-2.68, 4 Ag 2.67-2.70
Ag (0.2403, 0.0000, 0.7697) x2  7 Fe 2.64-2.70, 2 Ag 2.72, 3 Pt 2.76-2.81
Pt (0.4716, 0.0000, 0.4732) x2  7 Fe 2.59-2.74, 2 Pt 2.72, 3 Ag 2.76-2.81

=====

[4]
VASP calculation (SCAN) on a PBEsol-optimized structure of HgP2RhO.

formation energy (no corrections)	0.29	eV per atom
spin magnetization	0.004	μB per formula unit
E_tot	-127.52	eV/cell

a b c (Å): 4.7837 4.7837 3.6488
angles (deg): 90.00 90.00 90.00
Closest atoms and distances in Å follow each position.
Space group P4/mmm (No. 123)
One atom of each set of equivalent atoms:
Hg (0.0000, 0.0000, 0.0000) x1  8 P 3.01
P (0.0000, 0.5000, 0.5000) x2  2 Rh 2.39
Rh (0.5000, 0.5000, 0.5000) x1  2 O 1.82
O (0.5000, 0.5000, 0.0000) x1  2 Rh 1.82

=====

[5]
VASP calculation (SCAN) on a PBEsol-optimized structure of NaTi2P3O12.

formation energy (no corrections)	-2.79	eV per atom
distance to the lowest polymorph of the same formula	34	meV per atom
spin magnetization	0.000	μB per formula unit
E_tot	-769.99	eV/cell

a b c (Å): 8.6411 8.7206 11.9074
angles (deg): 90.00 91.17 90.00
Closest atoms and distances in Å follow each position.
Space group P2_1 (No. 4)
One atom of each set of equivalent atoms:
Na (0.0392, 0.0000, 0.1150) x2  3 O 2.22-2.31
Na (0.3471, 0.7108, 0.5855) x2  4 O 2.28-2.46
Ti (0.0024, 0.1453, 0.8604) x2  6 O 1.88-1.97
Ti (0.0081, 0.2170, 0.3660) x2  6 O 1.90-1.99
Ti (0.4926, 0.2130, 0.6396) x2  6 O 1.88-2.01
Ti (0.4989, 0.6470, 0.8676) x2  6 O 1.91-1.99
P (0.1502, 0.5592, 0.3990) x2  4 O 1.54
P (0.1522, 0.3084, 0.1023) x2  4 O 1.53-1.55
P (0.2305, 0.4321, 0.7502) x2  4 O 1.53-1.54
P (0.2690, 0.9330, 0.7527) x2  4 O 1.53-1.54
P (0.3522, 0.0550, 0.3958) x2  4 O 1.54-1.55
P (0.3518, 0.8028, 0.1025) x2  4 O 1.53-1.55
O (0.0749, 0.2554, 0.2112) x2  1 P 1.54
O (0.0766, 0.6604, 0.4900) x2  1 P 1.54
O (0.0794, 0.6012, 0.2835) x2  1 P 1.54
O (0.0869, 0.2028, 0.0081) x2  1 P 1.55
O (0.1100, 0.4750, 0.0713) x2  1 P 1.54
O (0.1147, 0.3182, 0.8010) x2  1 P 1.54
O (0.1226, 0.3873, 0.4226) x2  1 P 1.54
O (0.1338, 0.5635, 0.6987) x2  1 P 1.54
O (0.1628, 0.8669, 0.6593) x2  1 P 1.54
O (0.1746, 0.0094, 0.8446) x2  1 P 1.53
O (0.1754, 0.0757, 0.3816) x2  1 P 1.54
O (0.1750, 0.7772, 0.1054) x2  1 P 1.55
O (0.3257, 0.3572, 0.6583) x2  1 P 1.53
O (0.3256, 0.5875, 0.4011) x2  1 P 1.54
O (0.3278, 0.2874, 0.1132) x2  1 P 1.53
O (0.3339, 0.4963, 0.8454) x2  1 P 1.54
O (0.3687, 0.8024, 0.8007) x2  1 P 1.53
O (0.3739, 0.9756, 0.0799) x2  1 P 1.54
O (0.3781, 0.0494, 0.6988) x2  1 P 1.53
O (0.3874, 0.8870, 0.4270) x2  1 P 1.54
O (0.4134, 0.1629, 0.4897) x2  1 P 1.55
O (0.4224, 0.7577, 0.2172) x2  1 P 1.53
O (0.4249, 0.7025, 0.0119) x2  1 P 1.53
O (0.4352, 0.1023, 0.2882) x2  1 P 1.54

=====

[6]
VASP calculation (SCAN) on a PBEsol-optimized structure of NaTiGa2.

formation energy from the elements	-0.024	eV/atom
spin magnetization	0.009	μB per formula unit
E_tot	-212.14	eV/cell

a b c (Å): 6.5008 6.5008 6.5008
angles (deg): 90.00 90.00 90.00
Closest atoms and distances in Å follow each position.
Space group Fm-3m (No. 225)
One atom of each set of equivalent atoms:
Na (0.0000, 0.0000, 0.0000) x4  8 Ga 2.81
Ti (0.0000, 0.0000, 0.5000) x4  8 Ga 2.81
Ga (0.2500, 0.2500, 0.2500) x8  4 Na 2.81, 4 Ti 2.81

=====

[7]
VASP calculation (SCAN) on a PBEsol-optimized structure of LaNiCl2.

formation energy (no corrections)	-1.00	eV per atom
distance to the lowest polymorph of the same formula	271	meV per atom
spin magnetization	0.000	μB per formula unit
E_tot	-79.23	eV/cell

a b c (Å): 3.5044 3.6994 5.9324
angles (deg): 90.00 91.92 90.00
Closest atoms and distances in Å follow each position.
Space group P2/m (No. 10)
One atom of each set of equivalent atoms:
La (0.0000, 0.0000, 0.0000) x1  8 Cl 2.96
Ni (0.5000, 0.0000, 0.5000) x1  4 Cl 2.36
Cl (0.4874, 0.5000, 0.7455) x2  2 Ni 2.36

=====

[8]
VASP calculation (SCAN) on a PBEsol-optimized structure of La3GeN.

formation energy (no corrections)	-1.05	eV per atom
spin magnetization	0.000	μB per formula unit
E_tot	-325.90	eV/cell

a b c (Å): 6.9722 6.9722 5.0149
angles (deg): 90.00 90.00 90.00
Closest atoms and distances in Å follow each position.
Space group P4/mbm (No. 127)
One atom of each set of equivalent atoms:
La (0.0000, 0.0000, 0.0000) x2  2 N 2.51
La (0.2127, 0.2873, 0.5000) x4  2 N 2.49
Ge (0.0000, 0.5000, 0.0000) x2  8 La 3.27-3.49
N (0.0000, 0.0000, 0.5000) x2  6 La 2.49-2.51